# 1
A plane-wave DFT calculation with PBE-GGA was carried out for crystalline Y2Ga2Se at its relaxed geometry.

Results
Symmetry ... P4/mbm, No. 127
Magnetization ... 0.00 μB per cell
Energy relative to the elements, uncorrected ... -0.8220 eV/atom

Geometry as extended XYZ:
```
10
Lattice="7.547 0.000 0.000 0.000 7.547 0.000 0.000 0.000 4.426" Properties=species:S:1:pos:R:3 pbc="T T T"
Ga 0.918 4.691 2.213
Se 3.773 3.773 0.000
Y 1.319 2.455 0.000
Y 6.228 5.092 0.000
Ga 2.855 0.918 2.213
Y 5.092 1.319 0.000
Y 2.455 6.228 0.000
Ga 6.629 2.855 2.213
Ga 4.691 6.629 2.213
Se 0.000 0.000 0.000
```

***

# 2
A plane-wave DFT calculation with PBE-GGA was carried out for crystalline YGaSe3 at its relaxed geometry.

Results
Symmetry ... Pm-3m, No. 221
E above lowest polymorph ... 2.72 eV/f.u.
Magnetization ... 0.00 μB per cell
Energy relative to the elements, uncorrected ... -0.5767 eV/atom

Geometry as extended XYZ:
```
5
Lattice="-1.754 -3.468 -3.077 4.635 -1.257 -1.225 0.077 -3.311 3.688" Properties=species:S:1:pos:R:3 pbc="T T T"
Ga 0.000 0.000 0.000
Se 2.318 -0.629 -0.613
Se 0.038 -1.655 1.844
Y 1.479 -4.018 -0.307
Se -0.877 -1.734 -1.538
```

***

# 3
A plane-wave DFT calculation with PBE-GGA was carried out for crystalline Y2GaSe4 at its relaxed geometry.

Results
Symmetry ... C2/m, No. 12
Magnetization ... 0.00 μB per cell
Energy relative to the elements, uncorrected ... -1.3711 eV/atom

Geometry as extended XYZ:
```
7
Lattice="-0.765 3.239 -2.327 -5.368 1.921 4.437 7.372 0.894 2.364" Properties=species:S:1:pos:R:3 pbc="T T T"
Se 1.267 3.217 4.061
Y -1.141 4.208 2.688
Se 3.893 3.917 0.628
Se -0.028 2.836 0.413
Y 2.380 1.846 1.786
Se -2.654 2.137 3.846
Ga 0.000 0.000 0.000
```

***

# 4
A plane-wave DFT calculation with PBE-GGA was carried out for crystalline YGa3Se at its relaxed geometry.

Results
Symmetry ... Pm-3m, No. 221
E above lowest polymorph ... 2.36 eV/f.u.
Magnetization ... 0.00 μB per cell
Energy relative to the elements, uncorrected ... 0.6949 eV/atom

Geometry as extended XYZ:
```
5
Lattice="5.557 0.000 0.000 0.000 5.557 0.000 0.000 0.000 5.557" Properties=species:S:1:pos:R:3 pbc="T T T"
Ga 0.000 2.778 0.000
Ga 2.778 0.000 0.000
Y 0.000 0.000 0.000
Se 2.778 2.778 2.778
Ga 0.000 0.000 2.778
```

***

no.,DOS(E_F) (states/eV per cell)
1,7.60
2,1.92
3,2.71
4,3.64